[1]
The following is a DFT calculation (meta-GGA SCAN) of Ga3IrBr at its PBEsol-relaxed geometry.

The structure in POSCAR format:
```
Ga3IrBr
1.0
-1.0312 -2.5889 3.9173
-2.7052 -2.9506 -2.6621
3.8379 -2.7754 -0.8239
Ga Br Ir
3 1 1
Direct
0.0000 0.0000 0.5000 Ga
0.0000 0.5000 0.0000 Ga
0.5000 0.0000 0.0000 Ga
0.5000 0.5000 0.5000 Br
0.0000 0.0000 0.0000 Ir
```

Results
Magnetization, μB/atom: 0.00
Mass density, g/cm3: 7.2
Volume, Å³/cell: 111.11
DOS at the Fermi energy, states/eV/atom: 0.461
Energy relative to the elements, uncorrected, eV/atom: -0.536



[2]
The following is a DFT calculation (meta-GGA SCAN) of K3GaBr at its PBEsol-relaxed geometry.

The structure in POSCAR format:
```
K3GaBr
1.0
-3.1563 5.1045 1.8862
-4.0513 -3.6599 3.1253
3.6333 0.3533 5.1235
K Ga Br
3 1 1
Direct
0.0000 0.0000 0.5000 K
0.0000 0.5000 0.0000 K
0.5000 0.0000 0.0000 K
0.0000 0.0000 0.0000 Ga
0.5000 0.5000 0.5000 Br
```

Results
Magnetization, μB/atom: 0.60
Mass density, g/cm3: 1.8
Volume, Å³/cell: 248.97
DOS at the Fermi energy, states/eV/atom: 0.027
Energy relative to the elements, uncorrected, eV/atom: -0.323



[3]
The following is a DFT calculation (meta-GGA SCAN) of LaGaBr2 at its PBEsol-relaxed geometry.

The structure in POSCAR format:
```
LaGaBr2
1.0
-2.5485 -0.2258 -2.6714
-2.0157 -3.0784 -0.3778
-8.5499 2.7175 5.3658
Br Ga La
2 1 1
Direct
0.0975 0.0975 0.7074 Br
0.9025 0.9025 0.2926 Br
0.0000 0.0000 0.0000 Ga
0.5000 0.5000 0.5000 La
```

Results
Magnetization, μB/atom: 0.00
Mass density, g/cm3: 5.0
Volume, Å³/cell: 121.25
DOS at the Fermi energy, states/eV/atom: 0.683
Energy relative to the elements, uncorrected, eV/atom: -1.072



[4]
The following is a DFT calculation (meta-GGA SCAN) of LiGaBr2 at its PBEsol-relaxed geometry.

The structure in POSCAR format:
```
LiGaBr2
1.0
7.2436 0.0000 0.0000
-3.6218 5.2486 1.1597
0.0000 3.6111 6.2793
Li Br Ga
2 4 2
Direct
0.5000 0.0000 0.5000 Li
0.2500 0.5000 0.2500 Li
0.1774 0.7500 0.8750 Br
0.3750 0.2500 0.1774 Br
0.8750 0.2500 0.5726 Br
0.5726 0.7500 0.3750 Br
0.7500 0.5000 0.7500 Ga
0.0000 0.0000 0.0000 Ga
```

Results
Magnetization, μB/atom: 0.00
Mass density, g/cm3: 3.8
Volume, Å³/cell: 208.40
DOS at the Fermi energy, states/eV/atom: 0.000
Energy relative to the elements, uncorrected, eV/atom: -1.022



[5]
The following is a DFT calculation (meta-GGA SCAN) of LiGaBr3 at its PBEsol-relaxed geometry.

The structure in POSCAR format:
```
LiGaBr3
1.0
6.5135 0.0104 0.0000
-0.4943 7.9126 0.0000
0.0000 0.0000 10.2798
Br Li Ga
12 4 4
Direct
0.1352 0.4631 0.7500 Br
0.8648 0.5369 0.2500 Br
0.6598 0.3155 0.9324 Br
0.1715 0.1920 0.0658 Br
0.6598 0.3155 0.5676 Br
0.3402 0.6845 0.4324 Br
0.6602 0.0711 0.2500 Br
0.3402 0.6845 0.0676 Br
0.8285 0.8080 0.9342 Br
0.1715 0.1920 0.4342 Br
0.8285 0.8080 0.5658 Br
0.3398 0.9289 0.7500 Br
0.5000 0.0000 0.0000 Li
0.0000 0.5000 0.5000 Li
0.5000 0.0000 0.5000 Li
0.0000 0.5000 0.0000 Li
0.0241 0.0399 0.2500 Ga
0.1339 0.7568 0.2500 Ga
0.9759 0.9601 0.7500 Ga
0.8661 0.2432 0.7500 Ga
```

Results
Magnetization, μB/atom: 0.00
Mass density, g/cm3: 4.0
Volume, Å³/cell: 529.86
DOS at the Fermi energy, states/eV/atom: 0.000
Energy relative to the elements, uncorrected, eV/atom: -1.182



[6]
The following is a DFT calculation (meta-GGA SCAN) of LiGa3Br at its PBEsol-relaxed geometry.

The structure in POSCAR format:
```
LiGa3Br
1.0
4.7480 0.0000 0.0000
0.0000 4.7480 0.0000
0.0000 0.0000 4.7480
Li Br Ga
1 1 3
Direct
0.0000 0.0000 0.0000 Li
0.5000 0.5000 0.5000 Br
0.5000 0.0000 0.0000 Ga
0.0000 0.0000 0.5000 Ga
0.0000 0.5000 0.0000 Ga
```

Results
Magnetization, μB/atom: 0.00
Mass density, g/cm3: 4.6
Volume, Å³/cell: 107.03
DOS at the Fermi energy, states/eV/atom: 0.295
Energy relative to the elements, uncorrected, eV/atom: 0.127



[7]
The following is a DFT calculation (meta-GGA SCAN) of LiGaNi2Br at its PBEsol-relaxed geometry.

The structure in POSCAR format:
```
LiGaNi2Br
1.0
-1.6830 -3.7287 1.6506
-1.1291 -1.2897 -4.0647
3.9355 -1.9819 -0.4644
Ni Li Br Ga
2 1 1 1
Direct
0.5000 0.0000 0.0000 Ni
0.0000 0.5000 0.0000 Ni
0.0000 0.0000 0.5000 Li
0.0000 0.0000 0.0000 Br
0.5000 0.5000 0.5000 Ga
```

Results
Magnetization, μB/atom: 0.00
Mass density, g/cm3: 5.3
Volume, Å³/cell: 86.22
DOS at the Fermi energy, states/eV/atom: 0.408
Energy relative to the elements, uncorrected, eV/atom: 0.486



[8]
The following is a DFT calculation (meta-GGA SCAN) of Li4Ga3Si3BrO12 at its PBEsol-relaxed geometry.

The structure in POSCAR format:
```
Li4Ga3Si3BrO12
1.0
8.5532 0.0000 0.0000
0.0000 8.5532 0.0000
0.0000 0.0000 8.5532
Ga O Li Br Si
6 24 8 2 6
Direct
0.0000 0.2500 0.5000 Ga
0.5000 0.0000 0.7500 Ga
0.5000 0.0000 0.2500 Ga
0.0000 0.7500 0.5000 Ga
0.2500 0.5000 0.0000 Ga
0.7500 0.5000 0.0000 Ga
0.4016 0.8540 0.8724 O
0.8540 0.8724 0.4016 O
0.3724 0.3540 0.9016 O
0.8540 0.1276 0.5984 O
0.5984 0.8540 0.1276 O
0.8724 0.5984 0.1460 O
0.5984 0.1460 0.8724 O
0.8724 0.4016 0.8540 O
0.6460 0.9016 0.6276 O
0.3540 0.0984 0.6276 O
0.6276 0.3540 0.0984 O
0.3540 0.9016 0.3724 O
0.9016 0.6276 0.6460 O
0.6276 0.6460 0.9016 O
0.1276 0.5984 0.8540 O
0.4016 0.1460 0.1276 O
0.3724 0.6460 0.0984 O
0.1460 0.1276 0.4016 O
0.1276 0.4016 0.1460 O
0.0984 0.6276 0.3540 O
0.6460 0.0984 0.3724 O
0.0984 0.3724 0.6460 O
0.1460 0.8724 0.5984 O
0.9016 0.3724 0.3540 O
0.3227 0.3227 0.6773 Li
0.3227 0.6773 0.3227 Li
0.8227 0.8227 0.1773 Li
0.6773 0.3227 0.3227 Li
0.6773 0.6773 0.6773 Li
0.1773 0.8227 0.8227 Li
0.1773 0.1773 0.1773 Li
0.8227 0.1773 0.8227 Li
0.0000 0.0000 0.0000 Br
0.5000 0.5000 0.5000 Br
0.0000 0.5000 0.2500 Si
0.2500 0.0000 0.5000 Si
0.0000 0.5000 0.7500 Si
0.7500 0.0000 0.5000 Si
0.5000 0.2500 0.0000 Si
0.5000 0.7500 0.0000 Si
```

Results
Magnetization, μB/atom: 0.01
Mass density, g/cm3: 3.1
Volume, Å³/cell: 625.73
DOS at the Fermi energy, states/eV/atom: 0.000
Energy relative to the elements, uncorrected, eV/atom: -2.529



[9]
The following is a DFT calculation (meta-GGA SCAN) of MgGa3Br at its PBEsol-relaxed geometry.

The structure in POSCAR format:
```
MgGa3Br
1.0
5.3841 0.0000 0.0000
0.0000 5.3841 0.0000
0.0000 0.0000 5.3841
Ga Br Mg
3 1 1
Direct
0.0000 0.0000 0.5000 Ga
0.5000 0.0000 0.0000 Ga
0.0000 0.5000 0.0000 Ga
0.0000 0.0000 0.0000 Br
0.5000 0.5000 0.5000 Mg
```

Results
Magnetization, μB/atom: 0.00
Mass density, g/cm3: 3.3
Volume, Å³/cell: 156.08
DOS at the Fermi energy, states/eV/atom: 0.469
Energy relative to the elements, uncorrected, eV/atom: 0.572



[10]
The following is a DFT calculation (meta-GGA SCAN) of MgGaBr3 at its PBEsol-relaxed geometry.

The structure in POSCAR format:
```
MgGaBr3
1.0
-4.4530 2.3508 1.3097
-1.4123 0.1140 -5.0063
-2.2906 -4.6402 0.5406
Br Ga Mg
3 1 1
Direct
0.0000 0.0000 0.5000 Br
0.5000 0.0000 0.0000 Br
0.0000 0.5000 0.0000 Br
0.0000 0.0000 0.0000 Ga
0.5000 0.5000 0.5000 Mg
```

Results
Magnetization, μB/atom: 0.16
Mass density, g/cm3: 3.9
Volume, Å³/cell: 140.84
DOS at the Fermi energy, states/eV/atom: 0.334
Energy relative to the elements, uncorrected, eV/atom: -0.447



[11]
The following is a DFT calculation (meta-GGA SCAN) of MgGaW2Br at its PBEsol-relaxed geometry.

The structure in POSCAR format:
```
MgGaW2Br
1.0
-3.2945 2.3868 2.0133
-1.1988 -3.8687 2.6247
3.0960 1.3733 3.4382
W Ga Br Mg
2 1 1 1
Direct
0.0000 0.5000 0.0000 W
0.0000 0.0000 0.5000 W
0.5000 0.5000 0.5000 Ga
0.5000 0.0000 0.0000 Br
0.0000 0.0000 0.0000 Mg
```

Results
Magnetization, μB/atom: 0.23
Mass density, g/cm3: 8.5
Volume, Å³/cell: 105.73
DOS at the Fermi energy, states/eV/atom: 1.037
Energy relative to the elements, uncorrected, eV/atom: 2.580



[12]
The following is a DFT calculation (meta-GGA SCAN) of MnGaBr2 at its PBEsol-relaxed geometry.

The structure in POSCAR format:
```
MnGaBr2
1.0
-2.9318 -1.4795 1.6679
0.4648 -2.4454 2.7148
-0.7748 5.3655 7.4643
Ga Br Mn
1 2 1
Direct
0.5000 0.5000 0.5000 Ga
0.9127 0.9127 0.2620 Br
0.0873 0.0873 0.7380 Br
0.0000 0.0000 0.0000 Mn
```

Results
Magnetization, μB/atom: 1.05
Mass density, g/cm3: 4.5
Volume, Å³/cell: 105.47
DOS at the Fermi energy, states/eV/atom: 0.354
Energy relative to the elements, uncorrected, eV/atom: -0.241



[13]
The following is a DFT calculation (meta-GGA SCAN) of GaMo3Br at its PBEsol-relaxed geometry.

The structure in POSCAR format:
```
GaMo3Br
1.0
4.5325 0.0000 0.0000
0.0000 4.5325 0.0000
0.0000 0.0000 4.5325
Mo Ga Br
3 1 1
Direct
0.0000 0.0000 0.5000 Mo
0.5000 0.0000 0.0000 Mo
0.0000 0.5000 0.0000 Mo
0.5000 0.5000 0.5000 Ga
0.0000 0.0000 0.0000 Br
```

Results
Magnetization, μB/atom: 0.00
Mass density, g/cm3: 7.8
Volume, Å³/cell: 93.12
DOS at the Fermi energy, states/eV/atom: 0.734
Energy relative to the elements, uncorrected, eV/atom: 1.660



[14]
The following is a DFT calculation (meta-GGA SCAN) of GaMoPdBr2 at its PBEsol-relaxed geometry.

The structure in POSCAR format:
```
GaMoPdBr2
1.0
-4.4832 -0.4068 1.9569
1.9875 -0.1706 4.5179
-0.3064 4.9188 0.3205
Br Mo Ga Pd
2 1 1 1
Direct
0.0000 0.0000 0.5000 Br
0.0000 0.5000 0.0000 Br
0.0000 0.0000 0.0000 Mo
0.5000 0.5000 0.5000 Ga
0.5000 0.0000 0.0000 Pd
```

Results
Magnetization, μB/atom: 0.30
Mass density, g/cm3: 6.0
Volume, Å³/cell: 119.72
DOS at the Fermi energy, states/eV/atom: 0.422
Energy relative to the elements, uncorrected, eV/atom: 0.452



[15]
The following is a DFT calculation (meta-GGA SCAN) of NaGaBr4 at its PBEsol-relaxed geometry.

The structure in POSCAR format:
```
NaGaBr4
1.0
7.3507 0.0000 0.0000
0.0000 7.4463 0.0000
0.0000 0.0000 13.8585
Na Br Ga
4 16 4
Direct
0.7500 0.5535 0.8474 Na
0.2500 0.0535 0.6526 Na
0.2500 0.4465 0.1526 Na
0.7500 0.9465 0.3474 Na
0.9978 0.2357 0.8006 Br
0.9978 0.2643 0.3006 Br
0.2500 0.3840 0.5364 Br
0.0022 0.7643 0.1994 Br
0.7500 0.8840 0.9636 Br
0.7500 0.6160 0.4636 Br
0.5022 0.2357 0.8006 Br
0.5022 0.2643 0.3006 Br
0.7500 0.4017 0.0524 Br
0.7500 0.0983 0.5524 Br
0.2500 0.5983 0.9476 Br
0.0022 0.7357 0.6994 Br
0.2500 0.1160 0.0364 Br
0.4978 0.7643 0.1994 Br
0.2500 0.9017 0.4476 Br
0.4978 0.7357 0.6994 Br
0.2500 0.2965 0.9000 Ga
0.7500 0.7035 0.1000 Ga
0.7500 0.7965 0.6000 Ga
0.2500 0.2035 0.4000 Ga
```

Results
Magnetization, μB/atom: 0.00
Mass density, g/cm3: 3.6
Volume, Å³/cell: 758.55
DOS at the Fermi energy, states/eV/atom: 0.000
Energy relative to the elements, uncorrected, eV/atom: -1.202



[16]
The following is a DFT calculation (meta-GGA SCAN) of Na4Ga3Si3BrO12 at its PBEsol-relaxed geometry.

The structure in POSCAR format:
```
Na4Ga3Si3BrO12
1.0
9.0232 0.0000 0.0000
0.0000 9.0232 0.0000
0.0000 0.0000 9.0232
O Si Ga Na Br
24 6 6 8 2
Direct
0.3645 0.0704 0.6518 O
0.0704 0.3482 0.6355 O
0.9296 0.6518 0.6355 O
0.1518 0.4296 0.1355 O
0.8645 0.8482 0.4296 O
0.3482 0.3645 0.9296 O
0.1518 0.5704 0.8645 O
0.1355 0.1518 0.4296 O
0.4296 0.1355 0.1518 O
0.3645 0.9296 0.3482 O
0.6355 0.0704 0.3482 O
0.6518 0.3645 0.0704 O
0.8482 0.5704 0.1355 O
0.4296 0.8645 0.8482 O
0.0704 0.6518 0.3645 O
0.8482 0.4296 0.8645 O
0.1355 0.8482 0.5704 O
0.6518 0.6355 0.9296 O
0.3482 0.6355 0.0704 O
0.8645 0.1518 0.5704 O
0.9296 0.3482 0.3645 O
0.5704 0.8645 0.1518 O
0.6355 0.9296 0.6518 O
0.5704 0.1355 0.8482 O
0.2500 0.5000 0.0000 Si
0.0000 0.7500 0.5000 Si
0.5000 0.0000 0.7500 Si
0.0000 0.2500 0.5000 Si
0.5000 0.0000 0.2500 Si
0.7500 0.5000 0.0000 Si
0.5000 0.2500 0.0000 Ga
0.7500 0.0000 0.5000 Ga
0.0000 0.5000 0.7500 Ga
0.0000 0.5000 0.2500 Ga
0.2500 0.0000 0.5000 Ga
0.5000 0.7500 0.0000 Ga
0.6804 0.3196 0.3196 Na
0.8196 0.1804 0.8196 Na
0.3196 0.6804 0.3196 Na
0.1804 0.1804 0.1804 Na
0.6804 0.6804 0.6804 Na
0.3196 0.3196 0.6804 Na
0.8196 0.8196 0.1804 Na
0.1804 0.8196 0.8196 Na
0.5000 0.5000 0.5000 Br
0.0000 0.0000 0.0000 Br
```

Results
Magnetization, μB/atom: 0.01
Mass density, g/cm3: 3.0
Volume, Å³/cell: 734.66
DOS at the Fermi energy, states/eV/atom: 0.000
Energy relative to the elements, uncorrected, eV/atom: -2.474



[17]
The following is a DFT calculation (meta-GGA SCAN) of RbNaGa2Br at its PBEsol-relaxed geometry.

The structure in POSCAR format:
```
RbNaGa2Br
1.0
-1.3865 -4.5432 2.5753
4.8264 -0.0970 2.4273
-2.1201 3.1069 4.3397
Ga Na Br Rb
2 1 1 1
Direct
0.5000 0.0000 0.0000 Ga
0.0000 0.5000 0.0000 Ga
0.0000 0.0000 0.0000 Na
0.0000 0.0000 0.5000 Br
0.5000 0.5000 0.5000 Rb
```

Results
Magnetization, μB/atom: 0.00
Mass density, g/cm3: 3.2
Volume, Å³/cell: 167.66
DOS at the Fermi energy, states/eV/atom: 0.602
Energy relative to the elements, uncorrected, eV/atom: -0.082



[18]
The following is a DFT calculation (meta-GGA SCAN) of NaGaSeBr2 at its PBEsol-relaxed geometry.

The structure in POSCAR format:
```
NaGaSeBr2
1.0
-1.6724 2.1269 4.0549
1.2671 -4.3048 2.7806
4.7941 2.0079 0.9240
Ga Se Na Br
1 1 1 2
Direct
0.0000 0.0000 0.0000 Ga
0.5000 0.0000 0.0000 Se
0.5000 0.5000 0.5000 Na
0.0000 0.0000 0.5000 Br
0.0000 0.5000 0.0000 Br
```

Results
Magnetization, μB/atom: 0.00
Mass density, g/cm3: 4.1
Volume, Å³/cell: 135.85
DOS at the Fermi energy, states/eV/atom: 0.451
Energy relative to the elements, uncorrected, eV/atom: -0.702



[19]
The following is a DFT calculation (meta-GGA SCAN) of NbGa2Br at its PBEsol-relaxed geometry.

The structure in POSCAR format:
```
NbGa2Br
1.0
-0.3770 -1.1167 -4.6022
-3.8121 -2.3631 -1.5663
-3.2076 2.2046 -2.7242
Br Nb Ga
1 1 2
Direct
0.0000 0.0000 0.0000 Br
0.5000 0.5000 0.5000 Nb
0.2500 0.2500 0.2500 Ga
0.7500 0.7500 0.7500 Ga
```

Results
Magnetization, μB/atom: 0.00
Mass density, g/cm3: 6.8
Volume, Å³/cell: 75.82
DOS at the Fermi energy, states/eV/atom: 0.433
Energy relative to the elements, uncorrected, eV/atom: 0.728



[20]
The following is a DFT calculation (meta-GGA SCAN) of Ga3NiBr at its PBEsol-relaxed geometry.

The structure in POSCAR format:
```
Ga3NiBr
1.0
-0.3830 0.3097 -4.5737
1.7966 -4.2123 -0.4357
-4.2174 -1.8225 0.2297
Ga Ni Br
3 1 1
Direct
0.0000 0.5000 0.0000 Ga
0.5000 0.0000 0.0000 Ga
0.0000 0.0000 0.5000 Ga
0.0000 0.0000 0.0000 Ni
0.5000 0.5000 0.5000 Br
```

Results
Magnetization, μB/atom: 0.00
Mass density, g/cm3: 5.9
Volume, Å³/cell: 97.34
DOS at the Fermi energy, states/eV/atom: 0.038
Energy relative to the elements, uncorrected, eV/atom: -0.361